## Ba3Tl (SCAN)

Data for Ba3Tl at its PBEsol-relaxed geometry.

The structure in CIF format:
```
data_Ba3Tl
_cell_length_a 4.241
_cell_length_b 4.241
_cell_length_c 10.710
_cell_angle_alpha 90.00
_cell_angle_beta 90.00
_cell_angle_gamma 90.00
_symmetry_space_group_name_H-M 'P 4/m m m'
_symmetry_Int_Tables_number 123
_symmetry_space_group_name_Hall '-P 4 2'
loop_
_atom_site_label
_atom_site_fract_x
_atom_site_fract_y
_atom_site_fract_z
Ba1 0.000 0.000 0.000
Ba2 0.500 0.500 0.317
Tl1 0.000 0.000 0.500
```

* formation energy: -0.313 eV per atom
* density of states at the Fermi level: 0.893 states/eV/atom
* E: -48.06 eV per atom